{
  "formula": "Pm15SmTl4",
  "functional": "PBE-GGA",
  "state": "optimized geometry",
  "crystal_system": "tetragonal",
  "total_magnetization_mub_per_cell": 0.00,
  "sg": "P4/mmm",
  "formation_enthalpy_0k_mev_per_atom": -152.5,
  "cell": [[4.963, 0.000, 0.000], [0.000, 4.963, 0.000], [0.000, 0.000, 25.418]],
  "species": ["Pm", "Pm", "Pm", "Pm", "Pm", "Pm", "Pm", "Pm", "Pm", "Pm", "Pm", "Pm", "Pm", "Pm", "Pm", "Sm", "Tl", "Tl", "Tl", "Tl"],
  "frac_coords": [[0.000, 0.000, 0.000], [0.000, 0.000, 0.205], [0.000, 0.000, 0.402], [0.000, 0.000, 0.598], [0.000, 0.000, 0.795], [0.000, 0.500, 0.106], [0.000, 0.500, 0.303], [0.000, 0.500, 0.500], [0.000, 0.500, 0.697], [0.000, 0.500, 0.894], [0.500, 0.000, 0.106], [0.500, 0.000, 0.303], [0.500, 0.000, 0.500], [0.500, 0.000, 0.697], [0.500, 0.000, 0.894], [0.500, 0.500, 0.000], [0.500, 0.500, 0.206], [0.500, 0.500, 0.402], [0.500, 0.500, 0.598], [0.500, 0.500, 0.794]]
}

{
  "formula": "Pm5Sm4Tl",
  "functional": "PBE-GGA",
  "state": "optimized geometry",
  "crystal_system": "tetragonal",
  "total_magnetization_mub_per_cell": 0.00,
  "sg": "I4mm",
  "formation_enthalpy_0k_mev_per_atom": 122.8,
  "polymorph_energy_mev_per_atom": 100,
  "cell": [[-5.365, 5.365, 3.016], [5.365, -5.365, 3.016], [5.365, 5.365, -3.016]],
  "species": ["Pm", "Pm", "Pm", "Pm", "Pm", "Sm", "Sm", "Sm", "Sm", "Tl"],
  "frac_coords": [[0.000, 0.000, 0.000], [0.526, 0.526, 0.626], [0.526, 0.899, 0.000], [0.899, 0.526, 0.000], [0.899, 0.899, 0.374], [0.200, 0.515, 0.315], [0.200, 0.885, 0.685], [0.515, 0.200, 0.315], [0.885, 0.200, 0.685], [0.479, 0.479, 0.000]]
}

{
  "formula": "Pm3Sm5Tl3",
  "functional": "PBE-GGA",
  "state": "optimized geometry",
  "crystal_system": "hexagonal",
  "total_magnetization_mub_per_cell": 0.00,
  "sg": "P-62m",
  "formation_enthalpy_0k_mev_per_atom": 181.6,
  "cell": [[11.085, 0.000, 0.000], [-5.543, 9.600, 0.000], [0.000, 0.000, 3.489]],
  "species": ["Pm", "Pm", "Pm", "Sm", "Sm", "Sm", "Sm", "Sm", "Tl", "Tl", "Tl"],
  "frac_coords": [[0.000, 0.604, 0.000], [0.396, 0.396, 0.000], [0.604, 0.000, 0.000], [0.000, 0.297, 0.000], [0.297, 0.000, 0.000], [0.333, 0.667, 0.000], [0.667, 0.333, 0.000], [0.703, 0.703, 0.000], [0.000, 0.840, 0.500], [0.160, 0.160, 0.500], [0.840, 0.000, 0.500]]
}

{
  "formula": "Pm7Sm3Tl",
  "functional": "PBE-GGA",
  "state": "optimized geometry",
  "crystal_system": "trigonal",
  "total_magnetization_mub_per_cell": 0.00,
  "sg": "P3m1",
  "formation_enthalpy_0k_mev_per_atom": 121.5,
  "cell": [[7.115, 0.000, 0.000], [-3.558, 6.162, 0.000], [0.000, 0.000, 8.689]],
  "species": ["Pm", "Pm", "Pm", "Pm", "Pm", "Pm", "Pm", "Sm", "Sm", "Sm", "Tl"],
  "frac_coords": [[0.000, 0.000, 0.000], [0.164, 0.328, 0.336], [0.164, 0.836, 0.336], [0.502, 0.004, 0.011], [0.502, 0.498, 0.011], [0.672, 0.836, 0.336], [0.996, 0.498, 0.011], [0.332, 0.166, 0.670], [0.834, 0.166, 0.670], [0.834, 0.668, 0.670], [0.667, 0.333, 0.342]]
}

{
  "formula": "Pm3Sm3Tl4",
  "functional": "PBE-GGA",
  "state": "optimized geometry",
  "crystal_system": "orthorhombic",
  "total_magnetization_mub_per_cell": 0.00,
  "sg": "Amm2",
  "formation_enthalpy_0k_mev_per_atom": -296.6,
  "cell": [[4.559, 0.000, 0.000], [0.000, 5.865, 5.856], [0.000, -5.865, 5.856]],
  "species": ["Pm", "Pm", "Pm", "Sm", "Sm", "Sm", "Tl", "Tl", "Tl", "Tl"],
  "frac_coords": [[0.000, 0.000, 0.000], [0.000, 0.159, 0.501], [0.000, 0.501, 0.159], [0.000, 0.659, 0.659], [0.500, 0.329, 0.830], [0.500, 0.830, 0.329], [0.500, 0.200, 0.200], [0.500, 0.460, 0.460], [0.500, 0.700, 0.959], [0.500, 0.959, 0.700]]
}

{
  "formula": "Pm4Sm15Tl",
  "functional": "PBE-GGA",
  "state": "optimized geometry",
  "crystal_system": "tetragonal",
  "total_magnetization_mub_per_cell": 0.00,
  "sg": "P4/mmm",
  "formation_enthalpy_0k_mev_per_atom": -20.0,
  "cell": [[5.079, 0.000, 0.000], [0.000, 5.079, 0.000], [0.000, 0.000, 25.758]],
  "species": ["Pm", "Pm", "Pm", "Pm", "Sm", "Sm", "Sm", "Sm", "Sm", "Sm", "Sm", "Sm", "Sm", "Sm", "Sm", "Sm", "Sm", "Sm", "Sm", "Tl"],
  "frac_coords": [[0.000, 0.000, 0.100], [0.000, 0.000, 0.302], [0.000, 0.000, 0.698], [0.000, 0.000, 0.900], [0.000, 0.500, 0.000], [0.000, 0.500, 0.202], [0.000, 0.500, 0.404], [0.000, 0.500, 0.596], [0.000, 0.500, 0.798], [0.500, 0.000, 0.000], [0.500, 0.000, 0.202], [0.500, 0.000, 0.404], [0.500, 0.000, 0.596], [0.500, 0.000, 0.798], [0.500, 0.500, 0.101], [0.500, 0.500, 0.304], [0.500, 0.500, 0.500], [0.500, 0.500, 0.696], [0.500, 0.500, 0.899], [0.000, 0.000, 0.500]]
}

{
  "formula": "Pm12Sm5Tl2",
  "functional": "PBE-GGA",
  "state": "optimized geometry",
  "crystal_system": "monoclinic",
  "total_magnetization_mub_per_cell": 0.00,
  "sg": "C2/m",
  "formation_enthalpy_0k_mev_per_atom": 7.2,
  "cell": [[7.823, -4.733, 0.000], [7.823, 4.733, 0.000], [-0.474, 0.000, 8.605]],
  "species": ["Pm", "Pm", "Pm", "Pm", "Pm", "Pm", "Pm", "Pm", "Pm", "Pm", "Pm", "Pm", "Sm", "Sm", "Sm", "Sm", "Sm", "Tl", "Tl"],
  "frac_coords": [[0.056, 0.056, 0.318], [0.069, 0.683, 0.341], [0.167, 0.536, 0.765], [0.317, 0.931, 0.659], [0.419, 0.419, 0.116], [0.464, 0.833, 0.235], [0.536, 0.167, 0.765], [0.581, 0.581, 0.884], [0.683, 0.069, 0.341], [0.833, 0.464, 0.235], [0.931, 0.317, 0.659], [0.944, 0.944, 0.682], [0.186, 0.186, 0.006], [0.267, 0.267, 0.416], [0.500, 0.500, 0.500], [0.733, 0.733, 0.584], [0.814, 0.814, 0.994], [0.185, 0.815, 0.000], [0.815, 0.185, 0.000]]
}

{
  "formula": "PmSm12Tl7",
  "functional": "PBE-GGA",
  "state": "optimized geometry",
  "crystal_system": "trigonal",
  "total_magnetization_mub_per_cell": 0.00,
  "sg": "R-3",
  "formation_enthalpy_0k_mev_per_atom": -25.3,
  "cell": [[6.973, 4.026, 3.987], [-6.973, 4.026, 3.987], [0.000, -8.052, 3.987]],
  "species": ["Pm", "Sm", "Sm", "Sm", "Sm", "Sm", "Sm", "Sm", "Sm", "Sm", "Sm", "Sm", "Sm", "Tl", "Tl", "Tl", "Tl", "Tl", "Tl", "Tl"],
  "frac_coords": [[0.000, 0.000, 0.000], [0.121, 0.377, 0.447], [0.183, 0.714, 0.312], [0.286, 0.688, 0.817], [0.312, 0.183, 0.714], [0.377, 0.447, 0.121], [0.447, 0.121, 0.377], [0.553, 0.879, 0.623], [0.623, 0.553, 0.879], [0.688, 0.817, 0.286], [0.714, 0.312, 0.183], [0.817, 0.286, 0.688], [0.879, 0.623, 0.553], [0.015, 0.359, 0.058], [0.058, 0.015, 0.359], [0.359, 0.058, 0.015], [0.500, 0.500, 0.500], [0.641, 0.942, 0.985], [0.942, 0.985, 0.641], [0.985, 0.641, 0.942]]
}

{
  "formula": "Pm3Sm3Tl2",
  "functional": "PBE-GGA",
  "state": "optimized geometry",
  "crystal_system": "orthorhombic",
  "total_magnetization_mub_per_cell": 0.00,
  "sg": "Cmcm",
  "formation_enthalpy_0k_mev_per_atom": -106.8,
  "polymorph_energy_mev_per_atom": 92,
  "cell": [[2.685, -6.188, 0.000], [2.685, 6.188, 0.000], [0.000, 0.000, 15.700]],
  "species": ["Pm", "Pm", "Pm", "Pm", "Pm", "Pm", "Sm", "Sm", "Sm", "Sm", "Sm", "Sm", "Tl", "Tl", "Tl", "Tl"],
  "frac_coords": [[0.041, 0.959, 0.607], [0.041, 0.959, 0.893], [0.272, 0.728, 0.750], [0.728, 0.272, 0.250], [0.959, 0.041, 0.107], [0.959, 0.041, 0.393], [0.364, 0.636, 0.529], [0.364, 0.636, 0.971], [0.446, 0.554, 0.250], [0.554, 0.446, 0.750], [0.636, 0.364, 0.029], [0.636, 0.364, 0.471], [0.218, 0.782, 0.137], [0.218, 0.782, 0.363], [0.782, 0.218, 0.637], [0.782, 0.218, 0.863]]
}

{
  "formula": "Pm7SmTl5",
  "functional": "PBE-GGA",
  "state": "optimized geometry",
  "crystal_system": "orthorhombic",
  "total_magnetization_mub_per_cell": 0.00,
  "sg": "Imm2",
  "formation_enthalpy_0k_mev_per_atom": -183.8,
  "cell": [[-3.372, 5.433, 5.578], [3.372, -5.433, 5.578], [3.372, 5.433, -5.578]],
  "species": ["Pm", "Pm", "Pm", "Pm", "Pm", "Pm", "Pm", "Sm", "Tl", "Tl", "Tl", "Tl", "Tl"],
  "frac_coords": [[0.000, 0.000, 0.000], [0.297, 0.633, 0.663], [0.328, 0.328, 0.000], [0.428, 0.117, 0.310], [0.807, 0.117, 0.690], [0.858, 0.358, 0.500], [0.970, 0.633, 0.337], [0.666, 0.666, 0.000], [0.114, 0.120, 0.486], [0.114, 0.628, 0.994], [0.390, 0.890, 0.500], [0.634, 0.120, 0.006], [0.634, 0.628, 0.514]]
}

{
  "formula": "Pm2Sm2Tl3",
  "functional": "PBE-GGA",
  "state": "optimized geometry",
  "crystal_system": "orthorhombic",
  "total_magnetization_mub_per_cell": 0.01,
  "sg": "Cmmm",
  "formation_enthalpy_0k_mev_per_atom": -252.0,
  "polymorph_energy_mev_per_atom": 12,
  "cell": [[1.799, -16.390, 0.000], [1.799, 16.390, 0.000], [0.000, 0.000, 3.585]],
  "species": ["Pm", "Pm", "Sm", "Sm", "Tl", "Tl", "Tl"],
  "frac_coords": [[0.068, 0.932, 0.000], [0.932, 0.068, 0.000], [0.201, 0.799, 0.000], [0.799, 0.201, 0.000], [0.364, 0.636, 0.500], [0.500, 0.500, 0.500], [0.636, 0.364, 0.500]]
}

{
  "formula": "PmSm5Tl8",
  "functional": "PBE-GGA",
  "state": "optimized geometry",
  "crystal_system": "tetragonal",
  "total_magnetization_mub_per_cell": 0.00,
  "sg": "I-4",
  "formation_enthalpy_0k_mev_per_atom": -287.0,
  "cell": [[-4.710, 4.710, 4.725], [4.710, -4.710, 4.725], [4.710, 4.710, -4.725]],
  "species": ["Pm", "Sm", "Sm", "Sm", "Sm", "Sm", "Tl", "Tl", "Tl", "Tl", "Tl", "Tl", "Tl", "Tl"],
  "frac_coords": [[0.000, 0.000, 0.000], [0.248, 0.123, 0.623], [0.375, 0.752, 0.875], [0.500, 0.625, 0.377], [0.750, 0.250, 0.500], [0.877, 0.500, 0.125], [0.125, 0.376, 0.417], [0.127, 0.377, 0.915], [0.291, 0.875, 0.250], [0.461, 0.212, 0.085], [0.623, 0.539, 0.751], [0.624, 0.041, 0.750], [0.788, 0.873, 0.249], [0.959, 0.709, 0.583]]
}

{
  "formula": "Pm6Sm12Tl",
  "functional": "PBE-GGA",
  "state": "optimized geometry",
  "crystal_system": "trigonal",
  "total_magnetization_mub_per_cell": 0.00,
  "sg": "R-3",
  "formation_enthalpy_0k_mev_per_atom": 75.7,
  "cell": [[6.044, 3.489, 5.089], [-6.044, 3.489, 5.089], [0.000, -6.979, 5.089]],
  "species": ["Pm", "Pm", "Pm", "Pm", "Pm", "Pm", "Sm", "Sm", "Sm", "Sm", "Sm", "Sm", "Sm", "Sm", "Sm", "Sm", "Sm", "Sm", "Tl"],
  "frac_coords": [[0.202, 0.759, 0.595], [0.241, 0.405, 0.798], [0.405, 0.798, 0.241], [0.595, 0.202, 0.759], [0.759, 0.595, 0.202], [0.798, 0.241, 0.405], [0.038, 0.933, 0.280], [0.067, 0.720, 0.962], [0.140, 0.486, 0.316], [0.280, 0.038, 0.933], [0.316, 0.140, 0.486], [0.486, 0.316, 0.140], [0.514, 0.684, 0.860], [0.684, 0.860, 0.514], [0.720, 0.962, 0.067], [0.860, 0.514, 0.684], [0.933, 0.280, 0.038], [0.962, 0.067, 0.720], [0.500, 0.500, 0.500]]
}

{
  "formula": "Pm9SmTl2",
  "functional": "PBE-GGA",
  "state": "optimized geometry",
  "crystal_system": "tetragonal",
  "total_magnetization_mub_per_cell": 0.00,
  "sg": "P4/mmm",
  "formation_enthalpy_0k_mev_per_atom": -122.4,
  "cell": [[4.984, 0.000, 0.000], [0.000, 4.984, 0.000], [0.000, 0.000, 15.369]],
  "species": ["Pm", "Pm", "Pm", "Pm", "Pm", "Pm", "Pm", "Pm", "Pm", "Sm", "Tl", "Tl"],
  "frac_coords": [[0.000, 0.000, 0.000], [0.000, 0.000, 0.338], [0.000, 0.000, 0.662], [0.000, 0.500, 0.174], [0.000, 0.500, 0.500], [0.000, 0.500, 0.826], [0.500, 0.000, 0.174], [0.500, 0.000, 0.500], [0.500, 0.000, 0.826], [0.500, 0.500, 0.000], [0.500, 0.500, 0.339], [0.500, 0.500, 0.661]]
}

{
  "formula": "Pm6Sm3Tm2Tl",
  "functional": "PBE-GGA",
  "state": "optimized geometry",
  "crystal_system": "monoclinic",
  "total_magnetization_mub_per_cell": 0.00,
  "sg": "C2/m",
  "formation_enthalpy_0k_mev_per_atom": -4.6,
  "cell": [[3.112, -5.411, 0.000], [3.112, 5.411, 0.000], [-2.127, 0.000, 11.586]],
  "species": ["Pm", "Pm", "Pm", "Pm", "Pm", "Pm", "Sm", "Sm", "Sm", "Tm", "Tm", "Tl"],
  "frac_coords": [[0.080, 0.408, 0.244], [0.248, 0.248, 0.754], [0.408, 0.080, 0.244], [0.592, 0.920, 0.756], [0.752, 0.752, 0.246], [0.920, 0.592, 0.756], [0.168, 0.832, 0.500], [0.500, 0.500, 0.500], [0.832, 0.168, 0.500], [0.334, 0.666, 0.000], [0.666, 0.334, 0.000], [0.000, 0.000, 0.000]]
}

{
  "formula": "Pm3Sm6Tm2Tl",
  "functional": "PBE-GGA",
  "state": "optimized geometry",
  "crystal_system": "monoclinic",
  "total_magnetization_mub_per_cell": 0.00,
  "sg": "C2/m",
  "formation_enthalpy_0k_mev_per_atom": -4.6,
  "cell": [[3.109, -5.402, 0.000], [3.109, 5.402, 0.000], [-2.119, 0.000, 11.560]],
  "species": ["Pm", "Pm", "Pm", "Sm", "Sm", "Sm", "Sm", "Sm", "Sm", "Tm", "Tm", "Tl"],
  "frac_coords": [[0.000, 0.000, 0.000], [0.332, 0.668, 0.000], [0.668, 0.332, 0.000], [0.092, 0.420, 0.257], [0.252, 0.252, 0.745], [0.420, 0.092, 0.257], [0.580, 0.908, 0.743], [0.748, 0.748, 0.255], [0.908, 0.580, 0.743], [0.166, 0.834, 0.500], [0.834, 0.166, 0.500], [0.500, 0.500, 0.500]]
}

{
  "formula": "PmSmTm2Tl4",
  "functional": "PBE-GGA",
  "state": "optimized geometry",
  "crystal_system": "trigonal",
  "total_magnetization_mub_per_cell": 0.00,
  "sg": "R-3m",
  "formation_enthalpy_0k_mev_per_atom": -335.3,
  "cell": [[2.695, 1.556, 8.829], [-2.695, 1.556, 8.829], [0.000, -3.112, 8.829]],
  "species": ["Pm", "Sm", "Tm", "Tm", "Tl", "Tl", "Tl", "Tl"],
  "frac_coords": [[0.000, 0.000, 0.000], [0.500, 0.500, 0.500], [0.250, 0.250, 0.250], [0.750, 0.750, 0.750], [0.125, 0.125, 0.125], [0.375, 0.375, 0.375], [0.625, 0.625, 0.625], [0.875, 0.875, 0.875]]
}

{
  "formula": "Pm2SmTmTl2",
  "functional": "PBE-GGA",
  "state": "optimized geometry",
  "crystal_system": "orthorhombic",
  "total_magnetization_mub_per_cell": 0.00,
  "sg": "Pmc2_1",
  "formation_enthalpy_0k_mev_per_atom": -269.2,
  "cell": [[5.149, 0.000, 0.000], [0.000, 10.149, 0.000], [0.000, 0.000, 6.934]],
  "species": ["Pm", "Pm", "Pm", "Pm", "Sm", "Sm", "Tm", "Tm", "Tl", "Tl", "Tl", "Tl"],
  "frac_coords": [[0.000, 0.047, 0.000], [0.000, 0.953, 0.500], [0.500, 0.184, 0.278], [0.500, 0.816, 0.778], [0.500, 0.455, 0.905], [0.500, 0.545, 0.405], [0.000, 0.312, 0.620], [0.000, 0.688, 0.120], [0.000, 0.374, 0.167], [0.000, 0.626, 0.667], [0.500, 0.142, 0.742], [0.500, 0.858, 0.242]]
}

{
  "formula": "Pm2SmTmTl4",
  "functional": "PBE-GGA",
  "state": "optimized geometry",
  "crystal_system": "trigonal",
  "total_magnetization_mub_per_cell": 0.00,
  "sg": "R-3m",
  "formation_enthalpy_0k_mev_per_atom": -358.5,
  "cell": [[2.718, 1.569, 8.908], [-2.718, 1.569, 8.908], [0.000, -3.138, 8.908]],
  "species": ["Pm", "Pm", "Sm", "Tm", "Tl", "Tl", "Tl", "Tl"],
  "frac_coords": [[0.249, 0.249, 0.249], [0.751, 0.751, 0.751], [0.000, 0.000, 0.000], [0.500, 0.500, 0.500], [0.126, 0.126, 0.126], [0.376, 0.376, 0.376], [0.624, 0.624, 0.624], [0.874, 0.874, 0.874]]
}

Number 1: D(E_F) 29.0 states/eV/cell. Number 2: D(E_F) 14.4 states/eV/cell. Number 3: D(E_F) 17.0 states/eV/cell. Number 4: D(E_F) 16.6 states/eV/cell. Number 5: D(E_F) 15.1 states/eV/cell. Number 6: D(E_F) 26.6 states/eV/cell. Number 7: D(E_F) 26.2 states/eV/cell. Number 8: D(E_F) 24.8 states/eV/cell. Number 9: D(E_F) 20.0 states/eV/cell. Number 10: D(E_F) 14.1 states/eV/cell. Number 11: D(E_F) 7.7 states/eV/cell. Number 12: D(E_F) 13.5 states/eV/cell. Number 13: D(E_F) 27.7 states/eV/cell. Number 14: D(E_F) 15.0 states/eV/cell. Number 15: D(E_F) 15.0 states/eV/cell. Number 16: D(E_F) 15.3 states/eV/cell. Number 17: D(E_F) 6.2 states/eV/cell. Number 18: D(E_F) 12.9 states/eV/cell. Number 19: D(E_F) 6.3 states/eV/cell.